Entry 1:
4
Lattice="-2.4410 2.8232 -2.1037 -3.1796 -2.8670 -0.1580 -1.0541 1.0257 2.5997" Properties=species:S:1:pos:R:3 comment="PBE Si2TcW, optimized geometry" e_form_raw_ev_per_atom=-0.139 e_tot_ev_per_atom=-8.6802 pbc="T T T"
Si 0.0000 0.0000 0.0000
Si -2.8103 -0.0219 -1.1308
Tc -1.7476 1.9245 0.2480
W -2.1169 -0.9206 1.2208

=====

Entry 2:
15
Lattice="8.2164 -0.0001 0.0002 -4.1083 7.1154 -0.0251 0.0002 -4.7200 6.8023" Properties=species:S:1:pos:R:3 comment="PBE LiTb3Th3Se8, optimized geometry" e_form_raw_ev_per_atom=-1.680 e_tot_ev_per_atom=-6.0761 pbc="T T T"
Li 0.0001 -2.3600 3.4011
Tb 4.1083 -2.3601 3.4012
Tb 2.0541 1.1977 3.3887
Tb -2.0541 1.1977 3.3886
Th 0.0000 0.0000 0.0000
Th -2.0542 3.5577 -0.0125
Th 2.0540 3.5576 -0.0125
Se 0.0000 2.3779 1.7777
Se 4.1083 0.0174 4.9997
Se 4.1082 2.3915 1.7532
Se 0.0001 0.0038 5.0241
Se 6.1737 -1.1864 1.7658
Se -2.0654 3.5817 5.0116
Se 2.0428 -1.1863 1.7657
Se 2.0655 3.5816 5.0117